The following is a GGA-PBE calculation of a relaxed structure of SmYHgAu, from Alexandria via LeMat-Bulk.

```
4
Lattice="5.2347 0.0000 0.0000 2.6173 4.5334 0.0000 2.6173 1.5111 4.2741" Properties=species:S:1:pos:R:3 pbc="T T T"
Y 7.8520 4.5334 3.2056
Sm 2.6173 1.5111 1.0685
Au 0.0000 0.0000 0.0000
Hg 5.2347 3.0222 2.1370
```

The value obtained for the calculated formation energy is -644 meV per atom. The value obtained for the energy above the most stable polymorph in this dataset is 12.0 meV per atom. As for the density of states at the Fermi level: 0.908 states/eV per atom.